DFT (PBE-GGA) results for Pr6ZnTe5 after structural relaxation. Values from VASP.

E in eV per atom: -5.0738
Total magnetization in μB/cell: 0.0
Formation energy from raw total energies in meV per atom: -1269

```
&SYSTEM
  ibrav = 0, nat = 12, ntyp = 3
/
ATOMIC_SPECIES
Pr 140.91 Pr.upf
Zn 65.41 Zn.upf
Te 127.60 Te.upf
ATOMIC_POSITIONS angstrom
Pr -0.0630 2.1530 5.4294
Pr 1.1773 0.0000 1.8834
Pr -0.0630 -2.1530 5.4294
Pr 5.2851 2.1530 1.9197
Pr 4.0447 0.0000 5.4657
Pr 5.2851 -2.1530 1.9197
Zn -1.3043 0.0000 3.6745
Te 3.9153 4.4135 0.0000
Te 2.6110 2.2289 3.6745
Te 3.9153 0.0000 0.0000
Te 2.6110 -2.2289 3.6745
Te 3.9153 -4.4135 0.0000
CELL_PARAMETERS angstrom
3.9153 -6.7606 0.0000
3.9153 6.7606 0.0000
-2.6087 0.0000 7.3491
```